Density functional theory data (PBE) for a geometry-optimized Sc5Tl2Cd2 structure.

```
18
Lattice="7.648 -3.817 0.000 7.648 3.817 0.000 0.000 0.000 7.473" Properties=species:S:1:pos:R:3 pbc="T T T"
Sc 0.000 0.000 0.000
Sc 5.547 2.418 5.028
Sc 5.547 1.400 1.292
Sc 9.749 2.418 5.028
Sc 9.749 1.400 1.292
Sc 7.648 0.000 3.736
Sc 5.547 -1.400 6.181
Sc 5.547 -2.418 2.444
Sc 9.749 -1.400 6.181
Sc 9.749 -2.418 2.444
Tl 7.648 2.797 2.738
Tl 7.648 1.021 6.474
Tl 7.648 -1.021 0.999
Tl 7.648 -2.797 4.735
Cd 3.255 0.000 0.000
Cd 4.393 0.000 3.736
Cd 10.903 0.000 3.736
Cd 12.041 0.000 0.000
```

Computed properties:
Its mass density is 6.5 g cm⁻³. As for the space group: No. 64. The final energy comes out at -4.42 eV/atom. The calculation puts the density of states at the Fermi level at 0.72 states/eV per atom. The formation energy is -0.17 eV/atom.


Density functional theory data (PBE) for a geometry-optimized Sc2Tl2Cd3 structure.

```
7
Lattice="4.356 -2.431 0.000 4.356 2.431 0.000 -2.601 0.000 7.825" Properties=species:S:1:pos:R:3 pbc="T T T"
Sc 1.491 0.000 1.158
Sc 4.621 0.000 6.667
Tl -1.227 0.000 5.795
Tl 7.339 0.000 2.030
Cd 1.622 0.000 4.472
Cd 4.356 0.000 0.000
Cd 4.490 0.000 3.353
```

Computed properties:
Its mass density is 8.4 g cm⁻³. As for the space group: No. 12. The final energy comes out at -2.96 eV/atom. The calculation puts the density of states at the Fermi level at 0.78 states/eV per atom. The formation energy is -0.09 eV/atom.


Density functional theory data (PBE) for a geometry-optimized Sc4TlCd2 structure.

```
7
Lattice="-2.744 2.744 6.094 2.744 -2.744 6.094 2.744 2.744 -6.094" Properties=species:S:1:pos:R:3 pbc="T T T"
Sc 2.744 0.000 0.000
Sc 2.744 0.000 3.047
Sc 0.000 2.744 0.000
Sc 0.000 2.744 3.047
Tl 0.000 0.000 0.000
Cd 0.000 0.000 4.515
Cd 0.000 0.000 7.673
```

Computed properties:
Its mass density is 5.5 g cm⁻³. As for the space group: No. 139. The final energy comes out at -4.05 eV/atom. The calculation puts the density of states at the Fermi level at 1.18 states/eV per atom. Its energy above the most stable polymorph in this dataset is 250.5 meV per atom. The formation energy is 0.17 eV/atom.